# 1
A PBEsol-optimized structure of Cd2TeOs, computed with meta-GGA SCAN.

The energy relative to the elements, uncorrected comes out at 0.6658 eV per atom.

a = 5.094 Å, b = 5.094 Å, c = 5.094 Å
α = 129.68°, β = 129.68°, γ = 73.92°
Element x y z (fractional)
Cd: 0.000 0.000 0.000
Cd: 0.750 0.250 0.500
Te: 0.250 0.750 0.500
Os: 0.500 0.500 0.000


# 2
A PBEsol-optimized structure of Hf2MnIr, computed with meta-GGA SCAN.

The calculation puts the formation energy from the elements at -0.83 eV/atom.

a = 4.490 Å, b = 4.490 Å, c = 4.490 Å
α = 60.00°, β = 60.00°, γ = 60.00°
Element x y z (fractional)
Hf: 0.250 0.250 0.250
Hf: 0.750 0.750 0.750
Mn: 0.000 0.000 0.000
Ir: 0.500 0.500 0.500


Number 1: total moment 0.000 Bohr magnetons per cell, total DFT energy (no corrections) -1.5370 hartree per atom. Number 2: total moment 0.000 Bohr magnetons per cell, total DFT energy (no corrections) -2.0030 hartree per atom.